Entry 1:
Entry from the Alexandria database: a relaxed KTe2Rh crystal (PBE).

Output
Formation energy from raw total energies in meV/atom: -192
Crystal system: orthorhombic

Lattice parameters (Å, degrees): 3.531 3.531 8.659 90.00 90.00 103.66
Element x y z (fractional)
K  0.000  0.000  0.000
Te  0.500  0.500  0.309
Te  0.500  0.500  0.691
Rh  0.000  0.000  0.500

Entry 2:
Entry from the Alexandria database: a relaxed TbPd6Au2 crystal (PBE).

Output
Formation enthalpy at 0 K in eV per atom: -0.4182
Energy above the lowest structure with this stoichiometry in meV/atom: 0.0
Crystal system: triclinic

Lattice parameters (Å, degrees): 4.994 5.008 7.592 71.37 89.90 60.12
Element x y z (fractional)
Tb  0.000  0.000  0.000
Pd  0.113  0.115  0.332
Pd  0.222  0.228  0.667
Pd  0.333  0.333  0.000
Pd  0.667  0.667  0.000
Pd  0.778  0.772  0.333
Pd  0.887  0.885  0.668
Au  0.459  0.427  0.336
Au  0.541  0.573  0.664

Entry 3:
Entry from the Alexandria database: a relaxed SrNbIBr2 crystal (PBE).

Output
Formation energy from raw total energies in meV/atom: 3
Crystal system: tetragonal

Lattice parameters (Å, degrees): 5.588 5.588 8.334 90.00 90.00 90.00
Element x y z (fractional)
Sr  0.000  0.000  0.000
Nb  0.000  0.000  0.500
I  0.500  0.500  0.500
Br  0.000  0.500  0.000
Br  0.500  0.000  0.000

Entry 4:
Entry from the Alexandria database: a relaxed K3BaHg4 crystal (PBE).

Output
Formation enthalpy at 0 K in eV per atom: -0.2799
Crystal system: tetragonal

Lattice parameters (Å, degrees): 4.209 4.209 16.931 90.00 90.00 90.00
Element x y z (fractional)
K  0.000  0.000  0.000
K  0.000  0.000  0.252
K  0.000  0.000  0.748
Ba  0.000  0.000  0.500
Hg  0.500  0.500  0.123
Hg  0.500  0.500  0.383
Hg  0.500  0.500  0.617
Hg  0.500  0.500  0.877

Entry 5:
Entry from the Alexandria database: a relaxed BiB2Sb crystal (PBE).

Output
Energy above the lowest structure with this stoichiometry in meV/atom: 985.9
Formation energy from raw total energies in meV/atom: 1580
Crystal system: cubic

Lattice parameters (Å, degrees): 4.663 4.663 4.663 60.00 60.00 60.00
Element x y z (fractional)
Bi  0.000  0.000  0.000
B  0.250  0.250  0.250
B  0.750  0.750  0.750
Sb  0.500  0.500  0.500

Entry 6:
Entry from the Alexandria database: a relaxed SrLuRh2 crystal (PBE).

Output
Formation enthalpy at 0 K in eV per atom: -0.5857
Energy above the lowest structure with this stoichiometry in meV/atom: 0.0
Crystal system: tetragonal

Lattice parameters (Å, degrees): 3.420 3.420 7.229 90.00 90.00 90.00
Element x y z (fractional)
Sr  0.000  0.000  0.000
Lu  0.000  0.000  0.500
Rh  0.500  0.500  0.288
Rh  0.500  0.500  0.712

Entry 7:
Entry from the Alexandria database: a relaxed MnHPd3 crystal (PBE).

Output
Energy above the lowest structure with this stoichiometry in meV/atom: 523.8
Crystal system: orthorhombic

Lattice parameters (Å, degrees): 7.025 7.025 4.957 90.00 90.00 133.97
Element x y z (fractional)
Mn  0.174  0.826  0.750
Mn  0.826  0.174  0.250
H  0.410  0.590  0.750
H  0.590  0.410  0.250
Pd  0.000  0.000  0.000
Pd  0.000  0.000  0.500
Pd  0.079  0.407  0.750
Pd  0.407  0.079  0.250
Pd  0.593  0.921  0.750
Pd  0.921  0.593  0.250

Entry 8:
Entry from the Alexandria database: a relaxed Sm7Y5 crystal (PBE).

Output
Formation enthalpy at 0 K in eV per atom: 0.1753
Energy above the lowest structure with this stoichiometry in meV/atom: 170.3
Crystal system: monoclinic

Lattice parameters (Å, degrees): 5.655 5.655 14.794 101.46 101.46 61.69
Element x y z (fractional)
Sm  0.000  0.000  0.000
Sm  0.183  0.183  0.584
Sm  0.261  0.261  0.828
Sm  0.457  0.457  0.287
Sm  0.543  0.543  0.713
Sm  0.739  0.739  0.172
Sm  0.817  0.817  0.416
Y  0.122  0.122  0.300
Y  0.357  0.357  0.060
Y  0.500  0.500  0.500
Y  0.643  0.643  0.940
Y  0.878  0.878  0.700

| no. | density of states at the Fermi level (states/eV/f.u.) |
| --- | --- |
| 1 | 3.70 |
| 2 | 3.21 |
| 3 | 1.66 |
| 4 | 6.58 |
| 5 | 3.79 |
| 6 | 0.67 |
| 7 | 3.29 |
| 8 | 20.44 |